Crystalline YMg2CdAg4 at its relaxed geometry, computed with PBE-GGA.

Lattice parameters (Å, degrees): 4.795 4.795 8.703 74.01 74.01 60.00
Element x y z (fractional)
Ag1 0.385 0.385 0.844
Ag2 0.125 0.125 0.625
Mg1 0.753 0.753 0.741
Ag3 0.875 0.875 0.375
Cd1 0.500 0.500 0.500
Y1 0.000 0.000 0.000
Mg2 0.247 0.247 0.259
Ag4 0.615 0.615 0.156

Summary:
Its raw total energy is -2.9412 eV per atom. Its space-group type is No. 166. Its total magnetic moment is 0.00 μB/f.u. As for the energy relative to the elements: -1.56 eV/f.u.